# MgMnCl GGA-PBEsol optimized geometry
# - magnetization (Bohr magnetons per cell) = 7.52
# - V (Å³ per atom) = 18.352
# - DFT total energy (eV/atom) = -4.57
# - energy relative to the elements, uncorrected (eV per atom) = -0.07
data_MgMnCl
_chemical_formula_sum 'Mg2 Mn2 Cl2'
_cell_length_a 3.1405
_cell_length_b 3.1405
_cell_length_c 11.1646
_cell_angle_alpha 90.00
_cell_angle_beta 90.00
_cell_angle_gamma 90.00
_space_group_name_H-M_alt 'I 4 m m'
_space_group_IT_number 107
_space_group_name_Hall 'I 4 -2'
loop_
_atom_site_label
_atom_site_type_symbol
_atom_site_fract_x
_atom_site_fract_y
_atom_site_fract_z
Mg1 Mg 0.0000 0.0000 0.0000
Mn1 Mn 0.0000 0.0000 0.6548
Cl1 Cl 0.0000 0.0000 0.2865